## a
# Pm2YTm2, optimized geometry, DFT PBE
# Magnetization ... 0.0 μB/cell
# Volume ... 327.3 Å³/cell
data_Pm2YTm2
_chemical_formula_sum 'Pm4 Y2 Tm4'
_space_group_name_H-M_alt 'P 1'
_space_group_IT_number 1
_cell_length_a 9.446
_cell_length_b 9.446
_cell_length_c 3.668
_cell_angle_alpha 90.00
_cell_angle_beta 90.00
_cell_angle_gamma 90.00
loop_
_space_group_symop_operation_xyz
'x,y,z'
loop_
_atom_site_label
_atom_site_fract_x
_atom_site_fract_y
_atom_site_fract_z
Pm1 0.174 0.326 0.000
Pm2 0.326 0.826 0.000
Pm3 0.674 0.174 0.000
Pm4 0.826 0.674 0.000
Y1 0.000 0.000 0.500
Y2 0.500 0.500 0.500
Tm1 0.124 0.624 0.500
Tm2 0.376 0.124 0.500
Tm3 0.624 0.876 0.500
Tm4 0.876 0.376 0.500

## b
# Pm2YTm2, optimized geometry, DFT PBE
# Magnetization ... 0.0 μB/cell
# Volume ... 160.5 Å³/cell
data_Pm2YTm2
_chemical_formula_sum 'Pm2 Y1 Tm2'
_space_group_name_H-M_alt 'P 1'
_space_group_IT_number 1
_cell_length_a 14.676
_cell_length_b 14.676
_cell_length_c 14.676
_cell_angle_alpha 13.98
_cell_angle_beta 13.98
_cell_angle_gamma 13.98
loop_
_space_group_symop_operation_xyz
'x,y,z'
loop_
_atom_site_label
_atom_site_fract_x
_atom_site_fract_y
_atom_site_fract_z
Pm1 0.201 0.201 0.201
Pm2 0.799 0.799 0.799
Y1 0.000 0.000 0.000
Tm1 0.399 0.399 0.399
Tm2 0.601 0.601 0.601

The energetic minimum among the shown structures is b; the next structure lies 0.056 eV/atom above.